No. 1
DFT (GGA-PBE) results for a relaxed NaCdAsPd crystal.

a b c (Å): 6.739 6.739 6.739
angles (deg): 90.00 90.00 90.00
Space group F-43m (No. 216)
One atom of each set of equivalent atoms:
Na: 0.000 0.000 0.000 [4 per cell]
Cd: 0.000 0.000 0.500 [4 per cell]
As: 0.250 0.250 0.750 [4 per cell]
Pd: 0.250 0.250 0.250 [4 per cell]

Results
- Calculated total energy: -3.142 eV per atom
- Calculated density: 6.874 g/cm³

---

No. 2
DFT (GGA-PBE) results for a relaxed NaCdAsPd crystal.

a b c (Å): 6.698 6.698 6.698
angles (deg): 90.00 90.00 90.00
Space group F-43m (No. 216)
One atom of each set of equivalent atoms:
Na: 0.000 0.000 0.000 [4 per cell]
Cd: 0.250 0.250 0.750 [4 per cell]
As: 0.000 0.000 0.500 [4 per cell]
Pd: 0.250 0.250 0.250 [4 per cell]

Results
- Calculated total energy: -3.146 eV per atom
- Calculated density: 7.001 g/cm³

---

No. 3
DFT (GGA-PBE) results for a relaxed NaCdAsPd crystal.

a b c (Å): 6.656 6.656 6.656
angles (deg): 90.00 90.00 90.00
Space group F-43m (No. 216)
One atom of each set of equivalent atoms:
Na: 0.000 0.000 0.000 [4 per cell]
Cd: 0.250 0.250 0.750 [4 per cell]
As: 0.250 0.250 0.250 [4 per cell]
Pd: 0.000 0.000 0.500 [4 per cell]

Results
- Calculated total energy: -3.219 eV per atom
- Calculated density: 7.136 g/cm³